This record from the Alexandria database describes a relaxed NdSc3Sb2 crystal. The functional is PBE.

Properties
- space group = C2/m, No. 12
- magnetic moment (μB per cell) = 0.71
- formation energy from raw total energies (eV per formula unit) = -4.045

The structure in POSCAR format:
```
NdSc3Sb2
1.0
-1.7014 -0.8047 3.8950
-0.5182 -8.9517 -4.4781
7.3815 2.9684 3.8377
Nd Sc Sb
2 6 4
Direct
0.8892 0.7784 0.9080 Nd
0.1108 0.2216 0.0920 Nd
0.3088 0.6176 0.5115 Sc
0.9330 0.8659 0.5428 Sc
0.6459 0.2918 0.8037 Sc
0.3541 0.7082 0.1963 Sc
0.0670 0.1341 0.4572 Sc
0.6912 0.3824 0.4885 Sc
0.4870 0.9741 0.7990 Sb
0.5130 0.0259 0.2010 Sb
0.7555 0.5110 0.2266 Sb
0.2445 0.4890 0.7734 Sb
```